ZrWSeN2 after structural relaxation. Source: Alexandria, functional PBE-GGA.

Its raw formation energy is 0.0610 eV per atom. Its total energy is -8.266 eV/atom.

The structure belongs to space group P4/mmm (No. 123); the cell edges are 3.944, 3.944 and 5.085 Å and the angles 90.00°, 90.00° and 90.00°. The inequivalent atoms are Zr at (0.000, 0.000, 0.000), W at (0.500, 0.500, 0.500), Se at (0.500, 0.500, 0.000) and N at (0.000, 0.500, 0.500).

***

ZrWSe2N after structural relaxation. Source: Alexandria, functional PBE-GGA.

Its raw formation energy is 0.7565 eV per atom. Its total energy is -6.603 eV/atom.

The structure belongs to space group P4/mmm (No. 123); the cell edges are 5.298, 5.298 and 3.955 Å and the angles 90.00°, 90.00° and 90.00°. The inequivalent atoms are Zr at (0.000, 0.000, 0.000), W at (0.500, 0.500, 0.500), Se at (0.000, 0.500, 0.000) and N at (0.000, 0.000, 0.500).

***

| no. | ρ (Mg/m³) |
| --- | --- |
| 1 | 8.02 |
| 2 | 6.69 |